# 1
The following is a DFT calculation (PBE) of a relaxed structure of Zn2CdCl.

a = 3.265 Å, b = 3.265 Å, c = 7.493 Å
α = 90.00°, β = 90.00°, γ = 90.00°
Fractional positions:
Cd  0.500  0.500  0.250
Cl  0.500  0.500  0.750
Zn  0.000  0.000  0.003
Zn  0.000  0.000  0.497

Computed properties:
- total magnetic moment (μB per atom) = 0.00
- E above lowest polymorph (meV/atom) = 86

***

# 2
The following is a DFT calculation (PBE) of a relaxed structure of ZrCd3Cl.

a = 5.771 Å, b = 5.771 Å, c = 5.771 Å
α = 90.00°, β = 90.00°, γ = 90.00°
Fractional positions:
Cl  0.500  0.500  0.500
Zr  0.000  0.000  0.000
Cd  0.000  0.500  0.000
Cd  0.000  0.000  0.500
Cd  0.500  0.000  0.000

Computed properties:
- total magnetic moment (μB per atom) = 0.00
- E above lowest polymorph (meV/atom) = 0

***

# 3
The following is a DFT calculation (PBE) of a relaxed structure of ZrCd2Cl.

a = 6.480 Å, b = 5.639 Å, c = 3.205 Å
α = 89.93°, β = 60.49°, γ = 115.76°
Fractional positions:
Cd  0.000  0.000  0.000
Cd  0.500  0.000  0.500
Cl  0.000  0.500  0.500
Zr  0.500  0.500  0.000

Computed properties:
- total magnetic moment (μB per atom) = 0.00
- E above lowest polymorph (meV/atom) = 279

***

# 4
The following is a DFT calculation (PBE) of a relaxed structure of ZrCd3Cl.

a = 5.199 Å, b = 5.199 Å, c = 5.199 Å
α = 90.00°, β = 90.00°, γ = 90.00°
Fractional positions:
Cl  0.000  0.000  0.000
Zr  0.500  0.500  0.500
Cd  0.000  0.500  0.000
Cd  0.000  0.000  0.500
Cd  0.500  0.000  0.000

Computed properties:
- total magnetic moment (μB per atom) = 0.42
- E above lowest polymorph (meV/atom) = 46